The following is a meta-GGA SCAN calculation of a PBEsol-optimized structure of AgRu2, from Alexandria.

CIF file:
```
data_AgRu2
_chemical_formula_sum 'Ag2 Ru4'
_cell_length_a 2.7398
_cell_length_b 3.6967
_cell_length_c 8.5391
_cell_angle_alpha 90.00
_cell_angle_beta 90.00
_cell_angle_gamma 90.00
_space_group_name_H-M_alt 'I m m m'
_space_group_IT_number 71
_space_group_name_Hall '-I 2 2'
loop_
_atom_site_label
_atom_site_fract_x
_atom_site_fract_y
_atom_site_fract_z
Ag1 0.0000 0.0000 0.0000
Ru1 0.0000 0.0000 0.3170
```

Output
* ΔE_f: 444 meV per atom
* E above lowest polymorph: 0.26 eV/f.u.



The following is a meta-GGA SCAN calculation of a PBEsol-optimized structure of Ag3Ru2, from Alexandria.

CIF file:
```
data_Ag3Ru2
_chemical_formula_sum 'Ag9 Ru6'
_cell_length_a 2.7235
_cell_length_b 2.7235
_cell_length_c 35.1761
_cell_angle_alpha 90.00
_cell_angle_beta 90.00
_cell_angle_gamma 120.00
_space_group_name_H-M_alt 'R -3 m'
_space_group_IT_number 166
_space_group_name_Hall '-R 3 2"'
loop_
_atom_site_label
_atom_site_fract_x
_atom_site_fract_y
_atom_site_fract_z
Ag1 0.0000 0.0000 0.0000
Ag2 0.0000 0.0000 0.2010
Ru1 0.0000 0.0000 0.3994
```

Output
* ΔE_f: 468 meV per atom